Here is a relaxed structure of CsRbHgS from the Alexandria database. Energies are from GGA-PBE.

Values from the calculation:
The calculation puts the magnetic moment at 0.0 μB/f.u. The space group is No. 216. For the uncorrected formation energy, the calculation gives -676 meV/atom.

CIF file:
```
data_CsRbHgS
_cell_length_a 5.936
_cell_length_b 5.936
_cell_length_c 5.936
_cell_angle_alpha 60.00
_cell_angle_beta 60.00
_cell_angle_gamma 60.00
_space_group_name_H-M_alt 'P 1'
_space_group_IT_number 1
loop_
_space_group_symop_operation_xyz
'x,y,z'
loop_
_atom_site_label
_atom_site_type_symbol
_atom_site_fract_x
_atom_site_fract_y
_atom_site_fract_z
_atom_site_occupancy
Cs1 Cs 0.750 0.750 0.750 1
S1 S 0.500 0.500 0.500 1
Hg1 Hg 0.000 0.000 0.000 1
Rb1 Rb 0.250 0.250 0.250 1
```

Here is a relaxed structure of CsRb2Hg2Sb2 from the Alexandria database. Energies are from GGA-PBE.

Values from the calculation:
The calculation puts the magnetic moment at 0.0 μB/f.u. The space group is No. 166. For the uncorrected formation energy, the calculation gives -300 meV/atom.

CIF file:
```
data_CsRb2Hg2Sb2
_cell_length_a 5.353
_cell_length_b 5.353
_cell_length_c 12.282
_cell_angle_alpha 77.41
_cell_angle_beta 77.41
_cell_angle_gamma 60.00
_space_group_name_H-M_alt 'P 1'
_space_group_IT_number 1
loop_
_space_group_symop_operation_xyz
'x,y,z'
loop_
_atom_site_label
_atom_site_type_symbol
_atom_site_fract_x
_atom_site_fract_y
_atom_site_fract_z
_atom_site_occupancy
Cs1 Cs 0.000 0.000 0.000 1
Rb1 Rb 0.132 0.132 0.604 1
Rb2 Rb 0.868 0.868 0.396 1
Hg1 Hg 0.591 0.591 0.226 1
Hg2 Hg 0.409 0.409 0.774 1
Sb1 Sb 0.746 0.746 0.762 1
Sb2 Sb 0.254 0.254 0.238 1
```

Here is a relaxed structure of Cs2RbHgSb2 from the Alexandria database. Energies are from GGA-PBE.

Values from the calculation:
The calculation puts the magnetic moment at 0.0 μB/f.u. The space group is No. 72. For the uncorrected formation energy, the calculation gives -305 meV/atom.

CIF file:
```
data_Cs2RbHgSb2
_cell_length_a 8.883
_cell_length_b 8.035
_cell_length_c 10.016
_cell_angle_alpha 113.65
_cell_angle_beta 116.32
_cell_angle_gamma 90.00
_space_group_name_H-M_alt 'P 1'
_space_group_IT_number 1
loop_
_space_group_symop_operation_xyz
'x,y,z'
loop_
_atom_site_label
_atom_site_type_symbol
_atom_site_fract_x
_atom_site_fract_y
_atom_site_fract_z
_atom_site_occupancy
Cs1 Cs 0.462 0.171 0.342 1
Cs2 Cs 0.538 0.829 0.658 1
Cs3 Cs 0.120 0.329 0.658 1
Cs4 Cs 0.880 0.671 0.342 1
Rb1 Rb 0.000 0.750 0.000 1
Rb2 Rb 0.000 0.250 0.000 1
Hg1 Hg 0.500 0.750 0.000 1
Hg2 Hg 0.500 0.250 0.000 1
Sb1 Sb 0.774 0.087 0.173 1
Sb2 Sb 0.399 0.587 0.173 1
Sb3 Sb 0.601 0.413 0.827 1
Sb4 Sb 0.226 0.913 0.827 1
```